First-principles (GGA-PBE) data for a relaxed structure of CaMg8Cd4, as listed in Alexandria.

The structure in CIF format:
```
data_CaMg8Cd4
_cell_length_a 10.1319
_cell_length_b 10.1319
_cell_length_c 5.9210
_cell_angle_alpha 90.00
_cell_angle_beta 90.00
_cell_angle_gamma 90.00
_space_group_name_H-M_alt 'I 4/m m m'
_space_group_IT_number 139
_space_group_name_Hall '-I 4 2'
loop_
_atom_site_label
_atom_site_type_symbol
_atom_site_fract_x
_atom_site_fract_y
_atom_site_fract_z
_atom_site_occupancy
Ca1 Ca 0.0000 0.0000 0.0000 1
Mg1 Mg 0.0000 0.2143 0.5000 1
Mg2 Mg 0.0000 0.3511 0.0000 1
Cd1 Cd 0.2500 0.2500 0.2500 1
```

* total DFT energy (no corrections): -1.54 eV per atom
* magnetic moment: 0.0 μB per formula unit